Material: LiTbAlPt2
Method: DFT, PBE
State: relaxed

a = 3.8224 Å, b = 3.8224 Å, c = 6.7584 Å
α = 106.43°, β = 106.43°, γ = 90.00°
With the nearest neighbours (Å) after each atom.
Fractional positions:
1 Tb 0.0000 0.0000 0.0000  8 Pt 3.04
2 Pt 0.3877 0.3877 0.7755  2 Li 2.56, 2 Al 2.56, 1 Pt 2.78
3 Al 0.7500 0.2500 0.5000  4 Pt 2.56, 4 Li 2.70
4 Li 0.2500 0.7500 0.5000  4 Pt 2.56, 4 Al 2.70
5 Pt 0.6123 0.6123 0.2245  2 Li 2.56, 2 Al 2.56, 1 Pt 2.78

Energy of formation ... -0.99 eV per atom
Crystal system ... tetragonal
Total DFT energy (no corrections) ... -27.3 eV/f.u.
N(E_F) ... 1.2 states/eV/f.u.

Material: LiTb2AlPt6
Method: DFT, PBE
State: relaxed

a = 8.5866 Å, b = 5.5829 Å, c = 8.5849 Å
α = 71.08°, β = 37.95°, γ = 90.05°
With the nearest neighbours (Å) after each atom.
Fractional positions:
1 Pt 0.2541 0.2376 0.0162  1 Al 2.45, 1 Li 2.67, 2 Pt 2.75
2 Tb 0.2011 0.7991 0.4022  9 Pt 2.97-3.09
3 Li 0.0000 0.0000 0.0000  6 Pt 2.67
4 Pt 0.7459 0.7624 0.9838  1 Al 2.45, 1 Li 2.67, 2 Pt 2.75
5 Tb 0.7989 0.2009 0.5978  9 Pt 2.97-3.09
6 Pt 0.7618 0.7454 0.5084  1 Al 2.45, 1 Li 2.67, 2 Pt 2.75
7 Pt 0.7460 0.2546 0.9839  1 Al 2.45, 1 Li 2.67, 2 Pt 2.75
8 Pt 0.2382 0.2546 0.4916  1 Al 2.45, 1 Li 2.67, 2 Pt 2.75
9 Al 0.5000 0.5000 0.0000  6 Pt 2.45
10 Pt 0.2540 0.7454 0.0161  1 Al 2.45, 1 Li 2.67, 2 Pt 2.75

Energy of formation ... -0.87 eV per atom
Crystal system ... monoclinic
Total DFT energy (no corrections) ... -59.9 eV/f.u.
N(E_F) ... 4.6 states/eV/f.u.

Material: LiTbAl2Pt4
Method: DFT, PBE
State: relaxed

a = 4.2762 Å, b = 4.2762 Å, c = 8.7096 Å
α = 75.79°, β = 75.79°, γ = 60.00°
With the nearest neighbours (Å) after each atom.
Fractional positions:
1 Pt 0.4019 0.4019 0.7942  1 Li 2.46, 3 Al 2.56
2 Li 0.5000 0.5000 0.5000  8 Pt 2.46-2.62
3 Pt 0.5981 0.5981 0.2058  1 Li 2.46, 3 Al 2.56
4 Al 0.2372 0.2372 0.2885  7 Pt 2.56-2.65
5 Al 0.7628 0.7628 0.7115  7 Pt 2.56-2.65
6 Pt 0.1315 0.1315 0.6056  3 Li 2.62, 4 Al 2.62-2.65, 3 Pt 2.93
7 Pt 0.8685 0.8685 0.3944  3 Li 2.62, 4 Al 2.62-2.65, 3 Pt 2.93
8 Tb 0.0000 0.0000 0.0000  8 Pt 3.01-3.29

Energy of formation ... -1.03 eV per atom
Crystal system ... trigonal
Total DFT energy (no corrections) ... -46.5 eV/f.u.
N(E_F) ... 3.1 states/eV/f.u.

Material: LiTh2Al4Pt3
Method: DFT, PBE
State: relaxed

a = 4.3010 Å, b = 4.3010 Å, c = 10.3979 Å
α = 90.00°, β = 90.00°, γ = 90.00°
With the nearest neighbours (Å) after each atom.
Fractional positions:
1 Al 0.0000 0.0000 0.0000  4 Pt 2.56
2 Pt 0.5000 0.0000 0.8661  5 Al 2.48-2.56
3 Li 0.5000 0.5000 0.5000  4 Al 2.52
4 Al 0.5000 0.0000 0.6271  3 Pt 2.48-2.52, 2 Li 2.52
5 Al 0.5000 0.5000 0.0000  4 Pt 2.56
6 Pt 0.0000 0.5000 0.1339  5 Al 2.48-2.56
7 Al 0.0000 0.5000 0.3729  3 Pt 2.48-2.52, 2 Li 2.52
8 Th 0.0000 0.5000 0.7508  6 Pt 3.27-3.38, 8 Al 3.30-3.37, 2 Li 3.38
9 Th 0.5000 0.0000 0.2492  6 Pt 3.27-3.38, 8 Al 3.30-3.37, 2 Li 3.38
10 Pt 0.0000 0.0000 0.5000  4 Al 2.52

Energy of formation ... -0.94 eV per atom
Crystal system ... tetragonal
Total DFT energy (no corrections) ... -59.2 eV/f.u.
N(E_F) ... 6.8 states/eV/f.u.

Material: LiThAl2Pt4
Method: DFT, PBE
State: relaxed

a = 4.2535 Å, b = 4.2535 Å, c = 9.0417 Å
α = 76.40°, β = 76.40°, γ = 60.00°
With the nearest neighbours (Å) after each atom.
Fractional positions:
1 Pt 0.8670 0.8670 0.3990  4 Al 2.60-2.62, 3 Li 2.61
2 Al 0.2335 0.2335 0.2995  7 Pt 2.59-2.62
3 Pt 0.1330 0.1330 0.6010  4 Al 2.60-2.62, 3 Li 2.61
4 Li 0.5000 0.5000 0.5000  8 Pt 2.56-2.61
5 Th 0.0000 0.0000 0.0000  6 Pt 3.04
6 Al 0.7665 0.7665 0.7005  7 Pt 2.59-2.62
7 Pt 0.4020 0.4020 0.7940  1 Li 2.56, 3 Al 2.59
8 Pt 0.5980 0.5980 0.2060  1 Li 2.56, 3 Al 2.59

Energy of formation ... -1.08 eV per atom
Crystal system ... trigonal
Total DFT energy (no corrections) ... -49.6 eV/f.u.
N(E_F) ... 3.2 states/eV/f.u.

Material: LiThAlPt3
Method: DFT, PBE
State: relaxed

a = 5.9434 Å, b = 5.6789 Å, c = 7.0536 Å
α = 113.74°, β = 90.00°, γ = 90.00°
With the nearest neighbours (Å) after each atom.
Fractional positions:
1 Pt 0.5000 0.7589 0.0000  2 Li 2.48, 2 Al 2.55, 1 Pt 2.74
2 Pt 0.7500 0.8062 0.6124  1 Al 2.50
3 Pt 0.0000 0.7589 0.0000  2 Li 2.48, 2 Al 2.55, 1 Pt 2.74
4 Th 0.7500 0.3280 0.6561  1 Li 2.79, 6 Pt 2.85-3.05, 2 Al 3.07
5 Pt 0.0000 0.2411 0.0000  2 Li 2.48, 2 Al 2.55, 1 Pt 2.74
6 Pt 0.2500 0.1938 0.3876  1 Al 2.50
7 Th 0.2500 0.6720 0.3439  1 Li 2.79, 6 Pt 2.85-3.05, 2 Al 3.07
8 Li 0.7500 0.1117 0.2233  4 Pt 2.48
9 Al 0.7500 0.6125 0.2251  5 Pt 2.50-2.55
10 Al 0.2500 0.3875 0.7749  5 Pt 2.50-2.55
11 Li 0.2500 0.8883 0.7767  4 Pt 2.48
12 Pt 0.5000 0.2411 0.0000  2 Li 2.48, 2 Al 2.55, 1 Pt 2.74

Energy of formation ... -0.83 eV per atom
Crystal system ... orthorhombic
Total DFT energy (no corrections) ... -36.2 eV/f.u.
N(E_F) ... 1.5 states/eV/f.u.